This record from OQMD describes an optimized crystal structure of Dy3Mg3Tl2Pd. The functional is GGA-PBE.

Properties
- Magnetic moment: 0.017 μB per cell
- VASP energy: -3.59 eV per atom

a b c (Å): 7.5403 7.5403 4.4364
angles (deg): 90.00 90.00 120.00
With the nearest neighbours (Å) after each atom.
Positions (direct):
Dy: 0.0000 0.4036 0.0000  1 Pd 3.04, 4 Tl 3.19
Dy: 0.4036 0.0000 0.0000  1 Pd 3.04, 4 Tl 3.19
Dy: 0.5964 0.5964 0.0000  1 Pd 3.04, 4 Tl 3.19
Mg: 0.0000 0.7672 0.5000  2 Pd 2.83, 2 Tl 2.97, 2 Mg 3.04
Mg: 0.2328 0.2328 0.5000  2 Pd 2.83, 2 Tl 2.97, 2 Mg 3.04
Mg: 0.7672 0.0000 0.5000  2 Pd 2.83, 2 Tl 2.97, 2 Mg 3.04
Tl: 0.3333 0.6667 0.5000  3 Mg 2.97, 6 Dy 3.19
Tl: 0.6667 0.3333 0.5000  3 Mg 2.97, 6 Dy 3.19
Pd: 0.0000 0.0000 0.0000  6 Mg 2.83, 3 Dy 3.04

This record from OQMD describes an optimized crystal structure of Dy6ErNi2Te2. The functional is GGA-PBE.

Properties
- Magnetic moment: 0.004 μB per cell
- VASP energy: -5.18 eV per atom

a b c (Å): 9.3588 9.3588 9.3588
angles (deg): 156.27 66.72 118.67
With the nearest neighbours (Å) after each atom.
Positions (direct):
Dy: 0.1113 0.7963 0.3150  2 Ni 2.78
Dy: 0.1327 0.0000 0.1327  2 Ni 2.80, 1 Te 3.13
Dy: 0.4814 0.7963 0.6850  2 Ni 2.78
Dy: 0.5014 0.1475 0.3539  2 Ni 2.83, 2 Te 3.16
Dy: 0.7936 0.1475 0.6461  2 Ni 2.83, 2 Te 3.16
Dy: 0.8673 0.0000 0.8673  2 Ni 2.80, 1 Te 3.13
Er: 0.4171 0.4171 0.0000  3 Te 3.18-3.22
Ni: 0.2517 0.4891 0.7627  6 Dy 2.78-2.83
Ni: 0.7264 0.4891 0.2373  6 Dy 2.78-2.83
Te: 0.1525 0.6525 0.5000  2 Er 3.18, 6 Dy 3.18-3.20
Te: 0.7543 0.7543 0.0000  6 Dy 3.13-3.16, 1 Er 3.22

This record from OQMD describes an optimized crystal structure of RbGdSeS. The functional is GGA-PBE.

Properties
- Magnetic moment: 0.002 μB per cell
- VASP energy: -5.10 eV per atom

a b c (Å): 8.2139 8.2139 8.2139
angles (deg): 29.60 29.60 29.60
With the nearest neighbours (Å) after each atom.
Positions (direct):
Rb: 0.0000 0.0000 0.0000  3 S 3.40, 3 Se 3.41
Gd: 0.5045 0.5045 0.5045  3 S 2.82, 3 Se 2.92
Se: 0.7684 0.7684 0.7684  3 Gd 2.92
S: 0.2322 0.2322 0.2322  3 Gd 2.82

This record from OQMD describes an optimized crystal structure of SmTlPd. The functional is GGA-PBE.

Properties
- Magnetic moment: 0.149 μB per cell
- ΔE to the lowest computed polymorph: 381 meV per atom
- VASP energy: -4.35 eV per atom

a b c (Å): 8.3361 8.3361 3.5004
angles (deg): 90.00 90.00 120.00
With the nearest neighbours (Å) after each atom.
Positions (direct):
Sm: 0.0000 0.2961 0.0000  4 Tl 2.95-3.03, 4 Pd 3.29
Sm: 0.2961 0.0000 0.0000  4 Tl 2.95-3.03, 4 Pd 3.29
Sm: 0.7039 0.7039 0.0000  4 Tl 2.95-3.03, 4 Pd 3.29
Tl: 0.0000 0.0000 0.5000  6 Sm 3.03, 3 Pd 3.03
Tl: 0.3333 0.6667 0.0000  3 Sm 2.95, 6 Pd 3.19
Tl: 0.6667 0.3333 0.0000  3 Sm 2.95, 6 Pd 3.19
Pd: 0.0000 0.6368 0.5000  5 Tl 3.03-3.19, 6 Sm 3.29-3.34
Pd: 0.3632 0.3632 0.5000  5 Tl 3.03-3.19, 6 Sm 3.29-3.34
Pd: 0.6368 0.0000 0.5000  5 Tl 3.03-3.19, 6 Sm 3.29-3.34

Which formula does entry 2 have?
Dy6ErNi2Te2

Among the records above, which one has the highest magnetic moment?
SmTlPd

Copy entry 2 word for word.
This record from OQMD describes an optimized crystal structure of Dy6ErNi2Te2. The functional is GGA-PBE.

Properties
- Magnetic moment: 0.004 μB per cell
- VASP energy: -5.18 eV per atom

a b c (Å): 9.3588 9.3588 9.3588
angles (deg): 156.27 66.72 118.67
With the nearest neighbours (Å) after each atom.
Positions (direct):
Dy: 0.1113 0.7963 0.3150  2 Ni 2.78
Dy: 0.1327 0.0000 0.1327  2 Ni 2.80, 1 Te 3.13
Dy: 0.4814 0.7963 0.6850  2 Ni 2.78
Dy: 0.5014 0.1475 0.3539  2 Ni 2.83, 2 Te 3.16
Dy: 0.7936 0.1475 0.6461  2 Ni 2.83, 2 Te 3.16
Dy: 0.8673 0.0000 0.8673  2 Ni 2.80, 1 Te 3.13
Er: 0.4171 0.4171 0.0000  3 Te 3.18-3.22
Ni: 0.2517 0.4891 0.7627  6 Dy 2.78-2.83
Ni: 0.7264 0.4891 0.2373  6 Dy 2.78-2.83
Te: 0.1525 0.6525 0.5000  2 Er 3.18, 6 Dy 3.18-3.20
Te: 0.7543 0.7543 0.0000  6 Dy 3.13-3.16, 1 Er 3.22